AlFe after structural relaxation, computed with GGA-PBE.

Properties
density of states at the Fermi level	8.40	states/eV/cell
formation energy from the elements	-0.064	eV per atom
magnetization	12.0	μB per cell

Cell: 7.4327 7.4327 4.0442 Å, 90.00 90.00 120.00°
Space group P6_3/mmc (No. 194)
Asymmetric unit:
Al: 0.2046 0.4093 0.2500
Fe: 0.1132 0.5566 0.7500

=====

AlFe after structural relaxation, computed with GGA-PBE.

Properties
density of states at the Fermi level	4.83	states/eV/cell
formation energy from the elements	-0.108	eV per atom
magnetization	5.5	μB per cell

Cell: 4.0138 4.0138 7.7294 Å, 90.00 90.00 120.00°
Space group P6_3/mmc (No. 194)
Asymmetric unit:
Al: 0.3333 0.6667 0.0817
Fe: 0.0000 0.0000 0.2500
Fe: 0.3333 0.6667 0.7500

=====

Al2Fe3 after structural relaxation, computed with GGA-PBE.

Properties
density of states at the Fermi level	4.90	states/eV/cell
E above lowest polymorph	358.6	meV/atom
formation energy from the elements	0.165	eV per atom
magnetization	5.4	μB per cell

Cell: 3.9759 3.9759 4.9780 Å, 90.00 90.00 120.00°
Space group P-3m1 (No. 164)
Asymmetric unit:
Al: 0.3333 0.6667 0.3454
Fe: 0.0000 0.0000 0.5000
Fe: 0.3333 0.6667 0.8605

=====

AlFe2 after structural relaxation, computed with GGA-PBE.

Properties
density of states at the Fermi level	12.00	states/eV/cell
formation energy from the elements	0.314	eV per atom
magnetization	8.1	μB per cell

Cell: 3.367 3.367 14.061 Å, 90.00 90.00 90.00°
Space group I4_1/amd (No. 141, origin choice 2)
Asymmetric unit:
Al: 0.000 0.250 0.375
Fe: 0.000 0.250 0.797

=====

AlFe after structural relaxation, computed with GGA-PBE.

Properties
density of states at the Fermi level	10.92	states/eV/cell
formation energy from the elements	0.075	eV per atom
magnetization	14.7	μB per cell

Cell: 9.029 9.029 2.879 Å, 90.00 90.00 90.00°
Space group I4/m (No. 87)
Asymmetric unit:
Al: 0.116 0.815 0.000
Fe: 0.082 0.371 0.000

=====

AlFe after structural relaxation, computed with GGA-PBE.

Properties
density of states at the Fermi level	25.25	states/eV/cell
formation energy from the elements	0.038	eV per atom
magnetization	15.9	μB per cell

Cell: 4.376 7.413 13.195 Å, 90.00 90.00 90.00°
Space group Fddd (No. 70, origin choice 2)
Asymmetric unit:
Al: 0.125 0.292 0.125
Fe: 0.125 0.125 0.543

=====

Al3Fe5 after structural relaxation, computed with GGA-PBE.

Properties
density of states at the Fermi level	10.06	states/eV/cell
formation energy from the elements	-0.132	eV per atom
magnetization	20.8	μB per cell

Cell: 7.0276 7.0276 4.7550 Å, 90.00 90.00 120.00°
Space group P6_3/mcm (No. 193)
Asymmetric unit:
Al: 0.0000 0.4050 0.2500
Fe: 0.0000 0.2158 0.7500
Fe: 0.3333 0.6667 0.0000

=====

Al5Fe3 after structural relaxation, computed with GGA-PBE.

Properties
density of states at the Fermi level	13.11	states/eV/cell
E above lowest polymorph	78.9	meV/atom
formation energy from the elements	-0.166	eV per atom
magnetization	7.8	μB per cell

Cell: 7.1228 7.1228 4.9195 Å, 90.00 90.00 120.00°
Space group P6_3/mcm (No. 193)
Asymmetric unit:
Al: 0.0000 0.2441 0.2500
Al: 0.3333 0.6667 0.0000
Fe: 0.0000 0.3992 0.7500

=====

AlFe2 after structural relaxation, computed with GGA-PBE.

Properties
density of states at the Fermi level	12.30	states/eV/cell
formation energy from the elements	0.010	eV per atom
magnetization	17.3	μB per cell

Cell: 2.557 13.446 4.367 Å, 90.00 90.00 90.00°
Space group Cmcm (No. 63)
Asymmetric unit:
Al: 0.000 0.215 0.250
Fe: 0.000 0.116 0.750
Fe: 0.000 0.451 0.750

=====

AlFe2 after structural relaxation, computed with GGA-PBE.

Properties
density of states at the Fermi level	10.12	states/eV/cell
formation energy from the elements	0.694	eV per atom
magnetization	17.9	μB per cell

Cell: 5.633 5.633 5.633 Å, 90.00 90.00 90.00°
Space group Pa-3 (No. 205)
Asymmetric unit:
Al: 0.000 0.000 0.000
Fe: 0.121 0.621 0.879

=====

AlFe5 after structural relaxation, computed with GGA-PBE.

Properties
density of states at the Fermi level	4.21	states/eV/cell
E above lowest polymorph	253.0	meV/atom
formation energy from the elements	0.132	eV per atom
magnetization	8.8	μB per cell

Cell: 4.6107 4.6107 4.0843 Å, 90.00 90.00 120.00°
Space group P6/mmm (No. 191)
Asymmetric unit:
Al: 0.0000 0.0000 0.0000
Fe: 0.0000 0.5000 0.5000
Fe: 0.3333 0.6667 0.0000

=====

Al5Fe3 after structural relaxation, computed with GGA-PBE.

Properties
density of states at the Fermi level	15.15	states/eV/cell
E above lowest polymorph	3.4	meV/atom
formation energy from the elements	-0.242	eV per atom
magnetization	0.5	μB per cell

Cell: 4.054 4.054 12.329 Å, 90.00 90.00 90.00°
Space group I4/mmm (No. 139)
Asymmetric unit:
Al: 0.000 0.000 0.000
Al: 0.000 0.500 0.138
Fe: 0.000 0.000 0.252
Fe: 0.000 0.000 0.500

=====

AlFe2 after structural relaxation, computed with GGA-PBE.

Properties
density of states at the Fermi level	3.96	states/eV/cell
formation energy from the elements	-0.175	eV per atom
magnetization	8.7	μB per cell

Cell: 2.578 3.748 7.663 Å, 90.00 90.00 90.00°
Space group Immm (No. 71)
Asymmetric unit:
Al: 0.000 0.000 0.000
Fe: 0.000 0.000 0.336

=====

AlFe7 after structural relaxation, computed with GGA-PBE.

Properties
density of states at the Fermi level	14.00	states/eV/cell
formation energy from the elements	-0.096	eV per atom
magnetization	32.3	μB per cell

Cell: 4.059 4.059 11.472 Å, 90.00 90.00 90.00°
Space group I4/mmm (No. 139)
Asymmetric unit:
Al: 0.000 0.000 0.000
Fe: 0.000 0.000 0.248
Fe: 0.000 0.000 0.500
Fe: 0.000 0.500 0.129

=====

Al5Fe4 after structural relaxation, computed with GGA-PBE.

Properties
density of states at the Fermi level	15.52	states/eV/cell
E above lowest polymorph	16.6	meV/atom
formation energy from the elements	-0.150	eV per atom
magnetization	13.1	μB per cell

Cell: 7.752 7.752 3.865 Å, 90.00 90.00 90.00°
Space group I4/mmm (No. 139)
Asymmetric unit:
Al: 0.000 0.000 0.000
Al: 0.173 0.173 0.500
Fe: 0.000 0.332 0.000

=====

AlFe2 after structural relaxation, computed with GGA-PBE.

Properties
density of states at the Fermi level	6.52	states/eV/cell
formation energy from the elements	-0.136	eV per atom
magnetization	13.4	μB per cell

Cell: 7.0853 7.0853 2.5702 Å, 90.00 90.00 120.00°
Space group P-62m (No. 189)
Asymmetric unit:
Al: 0.0000 0.0000 0.0000
Al: 0.3333 0.6667 0.5000
Fe: 0.0000 0.3060 0.5000
Fe: 0.0000 0.6412 0.0000

=====

AlFe2 after structural relaxation, computed with GGA-PBE.

Properties
density of states at the Fermi level	7.27	states/eV/cell
formation energy from the elements	0.055	eV per atom
magnetization	17.6	μB per cell

Cell: 5.599 5.599 4.942 Å, 90.00 90.00 90.00°
Space group I4/mcm (No. 140)
Asymmetric unit:
Al: 0.000 0.000 0.250
Fe: 0.147 0.353 0.000

=====

AlFe after structural relaxation, computed with GGA-PBE.

Properties
density of states at the Fermi level	7.53	states/eV/cell
formation energy from the elements	1.226	eV per atom
magnetization	9.0	μB per cell

Cell: 5.575 5.575 5.575 Å, 90.00 90.00 90.00°
Space group F-43m (No. 216)
Asymmetric unit:
Al: 0.000 0.000 0.000
Fe: 0.250 0.250 0.750

=====

Al2Fe after structural relaxation, computed with GGA-PBE.

Properties
density of states at the Fermi level	9.41	states/eV/cell
formation energy from the elements	-0.182	eV per atom
magnetization	5.6	μB per cell

Cell: 9.587 2.746 6.308 Å, 90.00 100.31 90.00°
Space group Cm (No. 8)
Asymmetric unit:
Al: 0.000 0.000 0.000
Al: 0.069 0.000 0.583
Al: 0.203 0.500 0.284
Al: 0.343 0.000 0.656
Fe: 0.220 0.500 0.899
Fe: 0.421 0.000 0.292

=====

Al5Fe after structural relaxation, computed with GGA-PBE.

Properties
density of states at the Fermi level	9.82	states/eV/cell
formation energy from the elements	0.216	eV per atom
magnetization	9.4	μB per cell

Cell: 7.267 7.267 7.267 Å, 90.00 90.00 90.00°
Space group F-43m (No. 216)
Asymmetric unit:
Al: 0.000 0.000 0.000
Al: 0.125 0.125 0.625
Fe: 0.250 0.250 0.250

=====

AlFe5 after structural relaxation, computed with GGA-PBE.

Properties
density of states at the Fermi level	6.25	states/eV/cell
E above lowest polymorph	24.5	meV/atom
formation energy from the elements	-0.096	eV per atom
magnetization	11.3	μB per cell

Cell: 2.927 2.927 8.323 Å, 90.00 90.00 90.00°
Space group P4/mmm (No. 123)
Asymmetric unit:
Al: 0.000 0.000 0.000
Fe: 0.000 0.000 0.332
Fe: 0.500 0.500 0.174
Fe: 0.500 0.500 0.500

=====

AlFe2 after structural relaxation, computed with GGA-PBE.

Properties
density of states at the Fermi level	26.92	states/eV/cell
formation energy from the elements	-0.096	eV per atom
magnetization	28.7	μB per cell

Cell: 6.702 6.702 6.702 Å, 90.00 90.00 90.00°
Space group Fd-3m (No. 227, origin choice 2)
Asymmetric unit:
Al: 0.125 0.125 0.125
Fe: 0.000 0.000 0.500

=====

Al3Fe5 after structural relaxation, computed with GGA-PBE.

Properties
density of states at the Fermi level	18.41	states/eV/cell
formation energy from the elements	-0.240	eV per atom
magnetization	9.2	μB per cell

Cell: 5.695 5.695 5.695 Å, 90.00 90.00 90.00°
Space group Im-3m (No. 229)
Asymmetric unit:
Al: 0.000 0.000 0.500
Fe: 0.000 0.000 0.000
Fe: 0.250 0.250 0.250